[1]
Compound: Tm3AlSi2Ni9
Source: Alexandria via LeMat-Bulk
Functional: PBE
Structure: optimized geometry

Lattice parameters (Å, degrees): 5.784 5.784 8.525 90.00 90.00 120.00
Atoms (fractional coordinates):
Si: 0.667 0.333 0.824
Si: 0.333 0.667 0.176
Ni: 0.500 0.000 0.000
Ni: 0.723 0.862 0.277
Ni: 0.138 0.277 0.277
Ni: 0.862 0.723 0.723
Ni: 0.277 0.138 0.723
Ni: 0.500 0.500 0.000
Ni: 0.862 0.138 0.723
Ni: 0.000 0.500 0.000
Ni: 0.138 0.862 0.277
Tm: 0.667 0.333 0.305
Tm: 0.000 0.000 0.000
Tm: 0.333 0.667 0.695
Al: 0.000 0.000 0.500

Values from the calculation:
Uncorrected formation energy, eV per atom: -0.314
Crystal system: trigonal
DFT total energy, eV/atom: -5.6499

[2]
Compound: TiAlTl2
Source: Alexandria via LeMat-Bulk
Functional: PBE
Structure: optimized geometry

Lattice parameters (Å, degrees): 5.023 5.023 5.023 60.00 60.00 60.00
Site moments in Bohr magnetons follow the coordinates.
Atoms (fractional coordinates):
Ti: 0.500 0.500 0.500  1.53
Tl: 0.250 0.250 0.250  0.01
Tl: 0.750 0.750 0.750  0.01
Al: 0.000 0.000 0.000  -0.01

Values from the calculation:
Crystal system: cubic
DFT total energy, eV/atom: -3.6562
ΔE to the lowest computed polymorph, meV per atom: 11.0
Energy of formation from the pure elements, meV/atom: 436

no.,calculated density (g/cm³)
1,7.517
2,8.960